Record 1
# Ac4CdAg2

An optimized crystal structure of Ac4CdAg2 (PBE, Alexandria).

Summary:
Energy of formation   -136.9 meV per atom
Fermi-level density of states   26.0 states/eV per cell
Total moment   0.01 μB/f.u.
Offset from the most stable computed form   0 meV per atom

Unit cell a=5.6178 b=5.6178 c=27.2513 alpha=90.00 beta=90.00 gamma=120.00
Space group R-3m (No. 166, hexagonal axes)
Asymmetric unit:
Ac1 0.0000 0.0000 0.1215
Ac2 0.0000 0.0000 0.3728
Cd1 0.0000 0.0000 0.5000
Ag1 0.0000 0.0000 0.2492


Record 2
# AcCd6Ag

An optimized crystal structure of AcCd6Ag (PBE, Alexandria).

Summary:
Energy of formation   -148.1 meV per atom
Fermi-level density of states   4.1 states/eV per cell
Total moment   0.00 μB/f.u.
Offset from the most stable computed form   5 meV per atom

Unit cell a=4.678 b=4.678 c=9.488 alpha=90.00 beta=90.00 gamma=90.00
Space group P4/mmm (No. 123)
Asymmetric unit:
Ac1 0.000 0.000 0.000
Cd1 0.000 0.500 0.330
Cd2 0.500 0.500 0.146
Ag1 0.000 0.000 0.500


Record 3
# Ac2CdAg7

An optimized crystal structure of Ac2CdAg7 (PBE, Alexandria).

Summary:
Energy of formation   -175.3 meV per atom
Fermi-level density of states   6.2 states/eV per cell
Total moment   0.00 μB/f.u.

Unit cell a=4.329 b=4.329 c=12.968 alpha=90.00 beta=90.00 gamma=90.00
Space group P-4m2 (No. 115)
Asymmetric unit:
Ac1 0.000 0.500 0.241
Cd1 0.000 0.000 0.500
Ag1 0.000 0.000 0.000
Ag2 0.000 0.500 0.646
Ag3 0.000 0.500 0.860
Ag4 0.500 0.500 0.000
Ag5 0.500 0.500 0.500


Record 4
# Ac3Cd3Ag

An optimized crystal structure of Ac3Cd3Ag (PBE, Alexandria).

Summary:
Energy of formation   -279.7 meV per atom
Fermi-level density of states   13.3 states/eV per cell
Total moment   0.00 μB/f.u.

Unit cell a=4.005 b=5.066 c=21.922 alpha=90.00 beta=90.00 gamma=90.00
Space group Imm2 (No. 44)
Asymmetric unit:
Ac1 0.000 0.000 0.000
Ac2 0.000 0.000 0.386
Ac3 0.000 0.500 0.199
Cd1 0.000 0.000 0.556
Cd2 0.000 0.000 0.833
Cd3 0.000 0.500 0.631
Ag1 0.000 0.500 0.761


Record 5
# Ac5Cd2Ag2

An optimized crystal structure of Ac5Cd2Ag2 (PBE, Alexandria).

Summary:
Energy of formation   -170.8 meV per atom
Fermi-level density of states   44.2 states/eV per cell
Total moment   0.00 μB/f.u.

Unit cell a=18.128 b=8.179 c=8.544 alpha=90.00 beta=90.00 gamma=90.00
Space group Cmce (No. 64)
Asymmetric unit:
Ac1 0.000 0.000 0.000
Ac2 0.136 0.184 0.317
Cd1 0.220 0.000 0.000
Ag1 0.000 0.118 0.623


Record 6
# Ac3Cd6Ag5

An optimized crystal structure of Ac3Cd6Ag5 (PBE, Alexandria).

Summary:
Energy of formation   -266.3 meV per atom
Fermi-level density of states   14.9 states/eV per cell
Total moment   0.00 μB/f.u.

Unit cell a=4.881 b=10.047 c=14.467 alpha=90.00 beta=90.00 gamma=90.00
Space group Immm (No. 71)
Asymmetric unit:
Ac1 0.000 0.000 0.000
Ac2 0.000 0.000 0.286
Cd1 0.000 0.176 0.500
Cd2 0.000 0.290 0.138
Ag1 0.000 0.360 0.344
Ag2 0.000 0.500 0.000


Record 7
# Ac7Cd2Ag2

An optimized crystal structure of Ac7Cd2Ag2 (PBE, Alexandria).

Summary:
Energy of formation   6.0 meV per atom
Fermi-level density of states   25.8 states/eV per cell
Total moment   0.00 μB/f.u.

Unit cell a=8.541 b=12.274 c=8.136 alpha=90.00 beta=90.00 gamma=90.00
Space group Cmmm (No. 65)
Asymmetric unit:
Ac1 0.000 0.000 0.000
Ac2 0.000 0.500 0.257
Ac3 0.250 0.250 0.277
Cd1 0.166 0.000 0.500
Ag1 0.000 0.292 0.000


Record 8
# AcCd2Ag

An optimized crystal structure of AcCd2Ag (PBE, Alexandria).

Summary:
Energy of formation   -197.2 meV per atom
Fermi-level density of states   11.5 states/eV per cell
Total moment   0.00 μB/f.u.

Unit cell a=4.8622 b=4.8622 c=16.2968 alpha=90.00 beta=90.00 gamma=120.00
Space group R-3m (No. 166, hexagonal axes)
Asymmetric unit:
Ac1 0.0000 0.0000 0.0000
Cd1 0.0000 0.0000 0.2138
Ag1 0.0000 0.0000 0.5000


Record 9
# Ac6CdAg3

An optimized crystal structure of Ac6CdAg3 (PBE, Alexandria).

Summary:
Energy of formation   -162.7 meV per atom
Fermi-level density of states   22.8 states/eV per cell
Total moment   0.00 μB/f.u.

Unit cell a=10.843 b=5.159 c=13.468 alpha=90.00 beta=110.49 gamma=90.00
Space group P2_1/m (No. 11)
Asymmetric unit:
Ac1 0.022 0.250 0.119
Ac2 0.141 0.250 0.734
Ac3 0.192 0.750 0.536
Ac4 0.319 0.750 0.133
Ac5 0.381 0.250 0.383
Ac6 0.412 0.750 0.873
Cd1 0.405 0.250 0.655
Ag1 0.062 0.250 0.372
Ag2 0.165 0.750 0.293
Ag3 0.244 0.250 0.981


Record 10
# Ac5Cd4Ag

An optimized crystal structure of Ac5Cd4Ag (PBE, Alexandria).

Summary:
Energy of formation   -289.0 meV per atom
Fermi-level density of states   11.2 states/eV per cell
Total moment   0.00 μB/f.u.

Unit cell a=4.060 b=4.060 c=20.217 alpha=90.00 beta=90.00 gamma=90.00
Space group P4/mmm (No. 123)
Asymmetric unit:
Ac1 0.000 0.000 0.000
Ac2 0.000 0.000 0.203
Ac3 0.000 0.000 0.405
Cd1 0.500 0.500 0.101
Cd2 0.500 0.500 0.302
Ag1 0.500 0.500 0.500


Record 11
# Ac4CdAg3

An optimized crystal structure of Ac4CdAg3 (PBE, Alexandria).

Summary:
Energy of formation   -275.4 meV per atom
Fermi-level density of states   4.4 states/eV per cell
Total moment   0.00 μB/f.u.
Offset from the most stable computed form   0 meV per atom

Unit cell a=3.992 b=3.992 c=15.941 alpha=90.00 beta=90.00 gamma=90.00
Space group P4/mmm (No. 123)
Asymmetric unit:
Ac1 0.000 0.000 0.124
Ac2 0.000 0.000 0.369
Cd1 0.500 0.500 0.500
Ag1 0.500 0.500 0.000
Ag2 0.500 0.500 0.247


Record 12
# Ac6Cd2Ag

An optimized crystal structure of Ac6Cd2Ag (PBE, Alexandria).

Summary:
Energy of formation   -79.1 meV per atom
Fermi-level density of states   26.5 states/eV per cell
Total moment   0.00 μB/f.u.

Unit cell a=7.050 b=9.077 c=12.597 alpha=90.00 beta=120.59 gamma=90.00
Space group P2_1/c (No. 14)
Asymmetric unit:
Ac1 0.086 0.051 0.233
Ac2 0.187 0.704 0.064
Ac3 0.412 0.160 0.054
Cd1 0.321 0.114 0.735
Ag1 0.500 0.000 0.500